VASP calculation (PBE+U) on a geometry-optimized Na3Mn3SeO8 structure.

Geometry as POSCAR:
```
Na3Mn3SeO8
1.0
5.6307 -2.9611 0.0000
5.6307 2.9611 0.0000
-3.4930 0.0000 5.4890
Na Mn Se O
3 3 1 8
direct
0.0000 0.0000 0.0000
0.0000 0.5000 0.0000
0.5000 0.0000 0.0000
0.0000 0.5000 0.5000
0.5000 0.0000 0.5000
0.5000 0.5000 0.5000
0.0000 0.0000 0.5000
0.2253 0.2253 0.6833
0.2518 0.2518 0.3021
0.2536 0.7389 0.7046
0.2611 0.7464 0.2954
0.7389 0.2536 0.7046
0.7464 0.2611 0.2954
0.7482 0.7482 0.6979
0.7747 0.7747 0.3167
```

Values from the calculation:
DOS at the Fermi energy   0.383 states/eV per cell
E   -6.052 eV/atom
Magnetization   12.0 μB/f.u.



VASP calculation (PBE+U) on a geometry-optimized Na2MnSeO structure.

Geometry as POSCAR:
```
Na2MnSeO
1.0
4.5844 0.0000 0.0000
0.0000 4.5844 0.0000
0.0000 0.0000 4.1293
Na Mn Se O
2 1 1 1
direct
0.0000 0.5000 0.0000
0.5000 0.0000 0.0000
0.0000 0.0000 0.5000
0.5000 0.5000 0.5000
0.0000 0.0000 0.0000
```

Values from the calculation:
E   -4.857 eV/atom
Magnetization   5.0 μB/f.u.



VASP calculation (PBE+U) on a geometry-optimized NaMn3Se4O12 structure.

Geometry as POSCAR:
```
NaMn3Se4O12
1.0
5.3286 3.0764 2.6988
-5.3286 3.0764 2.6988
0.0000 -6.1529 2.6988
Na Mn Se O
1 3 4 12
direct
0.0000 0.0000 0.0000
0.0000 0.5793 0.4207
0.4207 0.0000 0.5793
0.5793 0.4207 0.0000
0.0981 0.5000 0.9019
0.5000 0.5000 0.5000
0.5000 0.9019 0.0981
0.9019 0.0981 0.5000
0.0393 0.2717 0.3691
0.0654 0.9346 0.5000
0.2717 0.3691 0.0393
0.3167 0.6833 0.5000
0.3691 0.0393 0.2717
0.5000 0.0654 0.9346
0.5000 0.3167 0.6833
0.6309 0.7283 0.9607
0.6833 0.5000 0.3167
0.7283 0.9607 0.6309
0.9346 0.5000 0.0654
0.9607 0.6309 0.7283
```

Values from the calculation:
DOS at the Fermi energy   5.900 states/eV per cell
E   -5.684 eV/atom
Magnetization   12.4 μB/f.u.



What is the magnetization in the third record? 12.4 μB/f.u.